Computed, not measured: crystalline NaLuPd6O8 at its relaxed geometry at the PBE level of DFT.

Output
Theoretical density: 8.145 g/cm3
Formation energy without anion corrections: -1.09 eV/atom

Cell: 5.8151 5.8151 5.8151 Å, 90.00 90.00 90.00°
With the nearest neighbours (Å) after each atom.
Positions (direct):
Na: 0.5000 0.5000 0.5000  8 O 2.66
Lu: 0.0000 0.0000 0.0000  8 O 2.38
Pd: 0.7511 0.5000 0.0000  4 O 2.06
Pd: 0.5000 0.0000 0.7511  4 O 2.06
Pd: 0.0000 0.7511 0.5000  4 O 2.06
Pd: 0.5000 0.0000 0.2489  4 O 2.06
Pd: 0.0000 0.2489 0.5000  4 O 2.06
Pd: 0.2489 0.5000 0.0000  4 O 2.06
O: 0.2363 0.7637 0.2363  3 Pd 2.06
O: 0.7637 0.2363 0.2363  3 Pd 2.06
O: 0.2363 0.2363 0.7637  3 Pd 2.06
O: 0.7637 0.7637 0.7637  3 Pd 2.06
O: 0.7637 0.2363 0.7637  3 Pd 2.06
O: 0.2363 0.7637 0.7637  3 Pd 2.06
O: 0.7637 0.7637 0.2363  3 Pd 2.06
O: 0.2363 0.2363 0.2363  3 Pd 2.06